Record 1
Crystalline ZrRe2As at its relaxed geometry, computed with GGA-PBEsol.

## Properties
**Size of the total moment**: 0.0 μB per formula unit

Lattice parameters (Å, degrees): 3.708 3.708 5.423 109.99 109.99 90.00
Atoms (fractional coordinates):
Re 0.750 0.250 0.500
Re 0.250 0.750 0.500
As 0.000 0.000 0.000
Zr 0.500 0.500 0.000

Record 2
Crystalline Zr2ReAs at its relaxed geometry, computed with GGA-PBEsol.

## Properties
**Size of the total moment**: 0.0 μB per formula unit

Lattice parameters (Å, degrees): 3.393 3.393 6.181 90.00 90.00 90.00
Atoms (fractional coordinates):
Re 0.500 0.500 0.000
As 0.500 0.500 0.500
Zr 0.000 0.000 0.249
Zr 0.000 0.000 0.751

Record 3
Crystalline ZrRe2As at its relaxed geometry, computed with GGA-PBEsol.

## Properties
**Size of the total moment**: 0.0 μB per formula unit

Lattice parameters (Å, degrees): 3.842 3.842 5.074 112.24 112.24 90.00
Atoms (fractional coordinates):
Re 0.000 0.000 0.000
Re 0.750 0.250 0.500
As 0.250 0.750 0.500
Zr 0.500 0.500 0.000

Record 4
Crystalline ZrRe2As at its relaxed geometry, computed with GGA-PBEsol.

## Properties
**Size of the total moment**: 0.0 μB per formula unit

Lattice parameters (Å, degrees): 3.193 4.359 5.289 114.34 107.57 90.00
Atoms (fractional coordinates):
Re 0.994 0.994 0.988
Re 0.739 0.239 0.477
As 0.264 0.764 0.529
Zr 0.503 0.503 0.006

Formation enthalpy at 0 K per entry: 0.0198, -0.5454, 0.1311, 0.0016 eV/atom
E_tot per entry: -40.8, -38.8, -40.3, -40.9 eV per formula unit